Computed, not measured: a geometry-optimized La2IrPbC structure at the PBE-GGA level of DFT.

Cell: 5.5507 5.5507 3.9139 Å, 90.00 90.00 90.00°
Last column: nearest neighbours and their distance in Å.
Atoms (fractional coordinates):
La: 0.0000 0.5000 0.0000  2 C 2.78
La: 0.5000 0.0000 0.0000  2 C 2.78
Ir: 0.0000 0.0000 0.5000  2 C 1.96
Pb: 0.5000 0.5000 0.5000  8 La 3.40
C: 0.0000 0.0000 0.0000  2 Ir 1.96

## Properties
SG: P4/mmm (123)
Energy of formation in kJ/mol of formula units: -216.0
Calculated total energy in eV per atom: -6.78